No. 1
# PBE BaScCo3, relaxed
data_BaScCo3
_chemical_formula_sum 'Ba1 Sc1 Co3'
_cell_length_a 4.815
_cell_length_b 4.815
_cell_length_c 4.815
_cell_angle_alpha 90.00
_cell_angle_beta 90.00
_cell_angle_gamma 90.00
_symmetry_space_group_name_H-M 'P m -3 m'
_symmetry_Int_Tables_number 221
_symmetry_space_group_name_Hall '-P 4 2 3'
loop_
_atom_site_label
_atom_site_type_symbol
_atom_site_fract_x
_atom_site_fract_y
_atom_site_fract_z
Ba1 Ba 0.000 0.000 0.000
Sc1 Sc 0.500 0.500 0.500
Co1 Co 0.000 0.500 0.500
# Energy ... -5.02 eV/atom
# ΔE_f ... 892 meV/atom
# Offset from the most stable computed form ... 0 meV per atom
# Size of the total moment ... 3.02 μB/f.u.
# Density of states at the Fermi level ... 9.9 states/eV/cell

---

No. 2
# PBE Ba4ScCo, relaxed
data_Ba4ScCo
_chemical_formula_sum 'Ba16 Sc4 Co4'
_cell_length_a 10.207
_cell_length_b 10.207
_cell_length_c 10.207
_cell_angle_alpha 90.00
_cell_angle_beta 90.00
_cell_angle_gamma 90.00
_symmetry_space_group_name_H-M 'F -4 3 m'
_symmetry_Int_Tables_number 216
_symmetry_space_group_name_Hall 'F -4 2 3'
loop_
_atom_site_label
_atom_site_type_symbol
_atom_site_fract_x
_atom_site_fract_y
_atom_site_fract_z
Ba1 Ba 0.125 0.125 0.125
Sc1 Sc 0.000 0.000 0.500
Co1 Co 0.250 0.250 0.750
# Energy ... -2.47 eV/atom
# ΔE_f ... 1051 meV/atom
# Size of the total moment ... 3.57 μB/f.u.
# Density of states at the Fermi level ... 64.4 states/eV/cell

---

No. 3
# PBE BaSc2Co2, relaxed
data_BaSc2Co2
_chemical_formula_sum 'Ba2 Sc4 Co4'
_cell_length_a 4.611
_cell_length_b 4.611
_cell_length_c 11.274
_cell_angle_alpha 90.00
_cell_angle_beta 90.00
_cell_angle_gamma 90.00
_symmetry_space_group_name_H-M 'I 4/m m m'
_symmetry_Int_Tables_number 139
_symmetry_space_group_name_Hall '-I 4 2'
loop_
_atom_site_label
_atom_site_type_symbol
_atom_site_fract_x
_atom_site_fract_y
_atom_site_fract_z
Ba1 Ba 0.000 0.000 0.000
Sc1 Sc 0.000 0.000 0.333
Co1 Co 0.000 0.500 0.250
# Energy ... -5.57 eV/atom
# ΔE_f ... 193 meV/atom
# Offset from the most stable computed form ... 137 meV per atom
# Size of the total moment ... 0.52 μB/f.u.
# Density of states at the Fermi level ... 15.2 states/eV/cell